Entry from the Alexandria database: a crystal of ScTc2Ru relaxed with PBEsol (SCAN).

```
ScTc2Ru
1.0
6.1799 0.0000 0.0000
0.0000 6.1799 0.0000
0.0000 0.0000 6.1799
Sc Tc Ru
4 8 4
direct
0.0000 0.0000 0.0000 Sc
0.0000 0.5000 0.5000 Sc
0.5000 0.0000 0.5000 Sc
0.5000 0.5000 0.0000 Sc
0.0000 0.0000 0.5000 Tc
0.0000 0.5000 0.0000 Tc
0.2500 0.2500 0.7500 Tc
0.2500 0.7500 0.2500 Tc
0.5000 0.0000 0.0000 Tc
0.5000 0.5000 0.5000 Tc
0.7500 0.2500 0.2500 Tc
0.7500 0.7500 0.7500 Tc
0.2500 0.2500 0.2500 Ru
0.2500 0.7500 0.7500 Ru
0.7500 0.2500 0.7500 Ru
0.7500 0.7500 0.2500 Ru
```

Properties
- calculated total energy (Ha/atom) = -1.101
- energy above the lowest structure with this stoichiometry (meV per atom) = 0.0
- size of the total moment (μB per formula unit) = 0.000
- density of states at the Fermi level (states/eV/atom) = 0.9355
- symmetry = F-43m (216)
- energy relative to the elements (eV/atom) = -0.17



Entry from the Alexandria database: a crystal of SiTePt2 relaxed with PBEsol (SCAN).

```
SiTePt2
1.0
4.3843 0.0000 0.0000
0.0000 4.3843 0.0000
0.0000 0.0000 3.5632
Si Te Pt
1 1 2
direct
0.0000 0.0000 0.0000 Si
0.5000 0.5000 0.0000 Te
0.0000 0.5000 0.5000 Pt
0.5000 0.0000 0.5000 Pt
```

Properties
- calculated total energy (Ha/atom) = -1.718
- energy above the lowest structure with this stoichiometry (meV per atom) = 571.1
- size of the total moment (μB per formula unit) = 0.000
- density of states at the Fermi level (states/eV/atom) = 0.5060
- symmetry = P4/mmm (123)
- formation energy without anion corrections (eV/atom) = 0.16



Entry from the Alexandria database: a crystal of YCrRu2 relaxed with PBEsol (SCAN).

```
YCrRu2
1.0
6.2939 0.0000 0.0000
0.0000 6.2939 0.0000
0.0000 0.0000 6.2939
Y Cr Ru
4 4 8
direct
0.0000 0.0000 0.0000 Y
0.0000 0.5000 0.5000 Y
0.5000 0.0000 0.5000 Y
0.5000 0.5000 0.0000 Y
0.0000 0.0000 0.5000 Cr
0.0000 0.5000 0.0000 Cr
0.5000 0.0000 0.0000 Cr
0.5000 0.5000 0.5000 Cr
0.2500 0.2500 0.2500 Ru
0.2500 0.2500 0.7500 Ru
0.2500 0.7500 0.2500 Ru
0.2500 0.7500 0.7500 Ru
0.7500 0.2500 0.2500 Ru
0.7500 0.2500 0.7500 Ru
0.7500 0.7500 0.2500 Ru
0.7500 0.7500 0.7500 Ru
```

Properties
- calculated total energy (Ha/atom) = -1.064
- energy above the lowest structure with this stoichiometry (meV per atom) = 0.0
- size of the total moment (μB per formula unit) = 2.079
- density of states at the Fermi level (states/eV/atom) = 0.8718
- symmetry = Fm-3m (225)
- energy relative to the elements (eV/atom) = 0.01